Ba2NaTb after structural relaxation. Source: Alexandria, functional PBE.

Computed properties:
**Polymorph energy (0 for the lowest one)**: 152 meV/atom
**Size of the total moment**: 0.000 μB per atom
**E_tot**: -2.11 eV/atom
**Formation energy**: 1.4 eV per formula unit
**V**: 44.840 Å³/atom

Cell: 3.8337 3.8337 42.2755 Å, 90.00 90.00 120.00°
Last column: nearest neighbours and their distance in Å.
Sites, in units of the cell vectors:
Ba1 0.0000 0.0000 0.0847  1 Tb 3.58, 6 Ba 3.83
Ba2 0.0000 0.0000 0.9153  1 Tb 3.58, 6 Ba 3.83
Ba3 0.3333 0.6667 0.5819  1 Tb 3.58, 6 Ba 3.83
Ba4 0.3333 0.6667 0.7514  1 Tb 3.58, 6 Ba 3.83
Ba5 0.6667 0.3333 0.2486  1 Tb 3.58, 6 Ba 3.83
Ba6 0.6667 0.3333 0.4181  1 Tb 3.58, 6 Ba 3.83
Na1 0.0000 0.0000 0.5000  6 Na 3.83, 6 Ba 4.11
Na2 0.3333 0.6667 0.1667  6 Na 3.83, 6 Ba 4.11
Na3 0.6667 0.3333 0.8333  6 Na 3.83, 6 Ba 4.11
Tb1 0.0000 0.0000 0.0000  2 Ba 3.58, 6 Tb 3.83
Tb2 0.3333 0.6667 0.6667  2 Ba 3.58, 6 Tb 3.83
Tb3 0.6667 0.3333 0.3333  2 Ba 3.58, 6 Tb 3.83